1.
4
Lattice="6.172 -2.273 0.000 6.172 2.273 0.000 -0.004 0.000 4.558" Properties=species:S:1:pos:R:3 comment="BaTe2As PBEsol optimized geometry" mass_density_g_cm3=6.07 formation_energy_uncorrected_kj_per_mol_atoms=-70.4 vol_a3_per_atom=31.97 final_energy_ev_per_atom=-4.31 pbc="T T T"
Ba 0.000 0.000 0.000
Te 5.174 0.000 2.279
Te 8.757 0.000 4.556
As 2.604 0.000 2.283

2.
5
Lattice="4.349 0.000 0.000 0.000 4.349 0.000 0.000 0.000 4.936" Properties=species:S:1:pos:R:3 comment="TcSeBr2N PBEsol optimized geometry" mass_density_g_cm3=6.24 formation_energy_uncorrected_kj_per_mol_atoms=137.7 vol_a3_per_atom=18.67 final_energy_ev_per_atom=-4.05 pbc="T T T"
Tc 0.000 0.000 0.000
Se 2.174 2.174 0.000
Br 0.000 2.174 2.468
Br 2.174 0.000 2.468
N 2.174 2.174 2.468

3.
4
Lattice="-1.407 5.430 2.687 1.407 -5.430 2.687 1.407 5.430 -2.687" Properties=species:S:1:pos:R:3 comment="AlCd3 PBEsol optimized geometry" mass_density_g_cm3=7.36 vol_a3_per_atom=20.54 final_energy_ev_per_atom=-1.82 pbc="T T T"
Al 0.000 0.000 0.000
Cd 1.407 2.617 0.116
Cd 0.000 5.430 0.011
Cd 0.000 2.813 2.803

4.
4
Lattice="-2.008 2.008 4.861 2.008 -2.008 4.861 2.008 2.008 -4.861" Properties=species:S:1:pos:R:3 comment="KInMo2 PBEsol optimized geometry" mass_density_g_cm3=7.33 vol_a3_per_atom=19.60 final_energy_ev_per_atom=-5.48 pbc="T T T"
K 0.000 0.000 0.000
In 0.000 0.000 4.861
Mo 2.008 0.000 2.430
Mo 0.000 2.008 2.430

5.
20
Lattice="10.880 0.000 0.000 0.000 3.917 0.000 -3.608 0.000 10.587" Properties=species:S:1:pos:R:3 comment="NdHo3S6 PBEsol optimized geometry" mass_density_g_cm3=6.12 formation_energy_uncorrected_kj_per_mol_atoms=-205.8 vol_a3_per_atom=22.56 final_energy_ev_per_atom=-6.77 pbc="T T T"
Nd -0.170 0.979 2.066
Nd 7.442 2.937 8.521
Ho -0.368 0.979 6.203
Ho -0.122 2.937 10.567
Ho 3.590 0.979 3.520
Ho 3.682 2.937 7.067
Ho 7.393 0.979 0.020
Ho 7.640 2.937 4.384
S -0.551 2.937 4.287
S -2.188 0.979 10.206
S -0.572 2.937 7.931
S 2.041 2.937 2.405
S 2.277 0.979 5.910
S 4.823 0.979 1.195
S 2.449 2.937 9.392
S 4.995 2.937 4.677
S 5.230 0.979 8.182
S 7.844 0.979 2.656
S 9.460 2.937 0.381
S 7.823 0.979 6.300

6.
4
Lattice="3.186 0.000 0.000 0.000 3.710 0.000 0.000 0.000 6.126" Properties=species:S:1:pos:R:3 comment="YAs2Os PBEsol optimized geometry" mass_density_g_cm3=9.84 de_polymorph_ev_per_atom=0.017 vol_a3_per_atom=18.10 final_energy_ev_per_atom=-7.56 pbc="T T T"
Y 0.000 0.000 0.000
As 0.000 0.000 3.170
As 1.593 1.855 1.482
Os 1.593 1.855 4.075

7.
5
Lattice="-2.022 2.802 4.293 2.022 -2.802 4.293 2.022 2.802 -4.293" Properties=species:S:1:pos:R:3 comment="Ho2AlSi2 PBEsol optimized geometry" mass_density_g_cm3=7.05 formation_energy_uncorrected_kj_per_mol_atoms=-74.8 vol_a3_per_atom=19.46 final_energy_ev_per_atom=-5.87 pbc="T T T"
Ho 0.000 0.000 1.802
Ho 0.000 0.000 6.784
Al 0.000 2.802 0.000
Si 2.022 1.183 0.000
Si 0.000 1.619 4.293

8.
5
Lattice="4.741 0.000 0.000 0.000 4.741 0.000 0.000 0.000 5.392" Properties=species:S:1:pos:R:3 comment="TlTeRh2W PBEsol optimized geometry" mass_density_g_cm3=9.89 formation_energy_uncorrected_kj_per_mol_atoms=185.8 vol_a3_per_atom=24.24 final_energy_ev_per_atom=-5.32 pbc="T T T"
Tl 0.000 0.000 0.000
Te 0.000 0.000 2.696
Rh 0.000 2.370 2.696
Rh 2.370 0.000 2.696
W 2.370 2.370 0.000

9.
5
Lattice="6.497 0.000 0.000 0.000 6.497 0.000 0.000 0.000 6.497" Properties=species:S:1:pos:R:3 comment="K3TiI PBEsol optimized geometry" mass_density_g_cm3=1.77 formation_energy_uncorrected_kj_per_mol_atoms=53.8 vol_a3_per_atom=54.85 final_energy_ev_per_atom=-2.14 pbc="T T T"
K 0.000 0.000 3.249
K 0.000 3.249 0.000
K 3.249 0.000 0.000
Ti 0.000 0.000 0.000
I 3.249 3.249 3.249

10.
26
Lattice="-4.107 4.107 9.893 4.107 -4.107 9.893 4.107 4.107 -9.893" Properties=species:S:1:pos:R:3 comment="La5Al4Br4 PBEsol optimized geometry" mass_density_g_cm3=5.58 formation_energy_uncorrected_kj_per_mol_atoms=-107.5 vol_a3_per_atom=25.67 final_energy_ev_per_atom=-5.00 pbc="T T T"
La 5.429 1.322 -2.211
La 1.322 2.784 -2.211
La 0.000 0.000 4.946
La 5.429 1.322 2.211
La 1.322 2.784 2.211
La 2.784 1.322 7.681
La -1.322 2.784 7.681
La 0.000 0.000 14.839
La 2.784 1.322 12.104
La -1.322 2.784 12.104
Al 5.281 -1.174 4.343
Al 2.933 -1.174 5.549
Al 2.933 1.174 4.343
Al 5.281 1.174 5.549
Al -1.174 2.933 4.343
Al 1.174 2.933 5.549
Al 1.174 5.281 4.343
Al -1.174 5.281 5.549
Br 0.000 0.000 1.841
Br 2.937 1.170 0.000
Br 2.937 -1.170 9.893
Br 0.000 0.000 8.052
Br 0.000 0.000 11.734
Br 1.170 5.277 0.000
Br 1.170 2.937 9.893
Br 0.000 0.000 17.944

11.
6
Lattice="4.908 -1.354 0.000 4.908 1.354 0.000 -1.622 0.000 6.141" Properties=species:S:1:pos:R:3 comment="NiIr5 PBEsol optimized geometry" mass_density_g_cm3=20.75 de_polymorph_ev_per_atom=0.000 vol_a3_per_atom=13.60 final_energy_ev_per_atom=-9.15 pbc="T T T"
Ni 0.000 0.000 0.000
Ir 2.647 0.000 0.321
Ir 2.193 0.000 4.097
Ir 4.821 0.000 4.449
Ir 6.002 0.000 2.004
Ir 8.639 0.000 2.351

12.
14
Lattice="4.872 -2.454 0.000 4.872 2.454 0.000 -1.666 0.000 6.320" Properties=species:S:1:pos:R:3 comment="LiMnPO4 PBEsol optimized geometry" mass_density_g_cm3=3.45 formation_energy_uncorrected_kj_per_mol_atoms=-195.8 de_polymorph_ev_per_atom=0.044 vol_a3_per_atom=10.79 final_energy_ev_per_atom=-7.53 pbc="T T T"
Li 0.000 0.000 0.000
Li 4.039 -2.310 3.160
Mn 2.162 0.299 4.911
Mn 5.916 0.299 1.409
P 2.710 0.334 1.720
P 5.368 0.334 4.600
O 1.334 0.727 1.091
O 2.760 1.046 3.082
O 3.862 0.847 0.785
O 4.216 0.847 5.535
O 5.319 1.046 3.239
O 2.860 -1.196 1.847
O 6.744 0.727 5.229
O 5.219 -1.196 4.473